[1]
This record from Alexandria describes a relaxed TiTeN2O crystal. The functional is PBE-GGA.

Computed properties:
Density of states at the Fermi level   3.958 states/eV/f.u.
Raw formation energy   504 meV/atom
Crystal system   tetragonal
Volume   16.49 Å³/atom

Structure (POSCAR):
```
TiTeN2O
1.0
-3.357 1.440 -0.652
-1.540 -3.324 0.590
-0.573 1.298 5.817
Te Ti N O
1 1 2 1
Cartesian
-0.286 0.649 2.908 Te
0.000 0.000 0.000 Ti
-1.679 0.720 -0.326 N
-0.770 -1.662 0.295 N
-2.735 -0.293 2.878 O
```


[2]
This record from Alexandria describes a relaxed U2TeNO crystal. The functional is PBE-GGA.

Computed properties:
Density of states at the Fermi level   5.484 states/eV/f.u.
Raw formation energy   -1518 meV/atom
Crystal system   tetragonal
Volume   16.53 Å³/atom

Structure (POSCAR):
```
U2TeNO
1.0
3.982 0.000 0.000
0.000 3.982 0.000
-1.991 -1.991 5.212
U Te N O
2 1 1 1
Cartesian
0.000 0.000 3.859 U
1.991 1.991 1.354 U
0.000 0.000 0.000 Te
1.991 0.000 2.606 N
0.000 1.991 2.606 O
```